# Sm5Bi4Pb

A relaxed structure of Sm5Bi4Pb (PBE, Alexandria).

Properties
The formation energy is -79 kJ/mol of atoms. For the total energy, the calculation gives -5.1015 eV per atom.

```
Sm5Bi4Pb
1.0
6.437 0.000 0.000
3.218 7.195 0.000
3.218 0.000 7.195
Pb Sm Bi
1 5 4
Cartesian
0.008 0.000 0.000
6.443 5.763 4.316
3.226 0.000 0.000
3.225 4.316 1.432
9.661 2.879 5.763
6.443 1.432 2.879
6.443 2.876 5.746
6.443 4.320 1.450
9.662 5.746 4.320
3.225 1.450 2.876
```